[1]
DFT (PBE-GGA) results for a relaxed structure of Nd5Hg2Os2.

## Properties
Symmetry   Cmce
Formation energy   -2.2 eV per formula unit
Uncorrected energy   -98.3 eV per cell
Calculated volume   27.71 Å³/atom
Total magnetization   0.00 μB/atom
Fermi-level density of states   0.89 states/eV per atom

Structure (POSCAR):
```
Nd5Hg2Os2
1.0
-6.526 -0.157 4.125
-0.969 -7.587 -1.822
1.011 -2.228 8.742
Nd Os Hg
10 4 4
Cartesian
-1.202 -1.956 2.623 Nd
-4.598 -3.072 4.436 Nd
-4.193 -6.844 2.963 Nd
-5.687 -4.244 9.896 Nd
-5.282 -8.016 8.423 Nd
-1.886 -6.900 6.610 Nd
-2.291 -3.128 8.083 Nd
0.000 0.000 0.000 Nd
-0.797 -5.728 1.149 Nd
-3.747 -3.872 1.152 Nd
-6.392 -4.809 2.542 Os
-3.390 -6.771 -0.010 Os
-1.103 -2.934 -0.239 Os
-4.105 -0.972 2.313 Os
-1.873 -4.815 4.081 Hg
-4.652 -1.099 7.054 Hg
-0.863 -1.286 5.813 Hg
-4.611 -5.157 6.965 Hg
```

[2]
DFT (PBE-GGA) results for a relaxed structure of Nd6HgOs2.

## Properties
Symmetry   Immm
Formation energy   -1.6 eV per formula unit
Uncorrected energy   -106.0 eV per cell
Calculated volume   28.59 Å³/atom
Total magnetization   0.00 μB/atom
Fermi-level density of states   0.91 states/eV per atom

Structure (POSCAR):
```
Nd6HgOs2
1.0
8.222 -0.078 -3.012
-4.388 7.186 -2.407
-0.103 0.078 8.756
Nd Os Hg
12 4 2
Cartesian
-1.819 7.098 2.571 Nd
1.170 5.207 3.788 Nd
5.550 0.088 0.765 Nd
4.008 2.581 2.944 Nd
0.588 1.739 2.696 Nd
2.560 1.978 -0.452 Nd
-0.277 4.605 0.392 Nd
-0.529 2.057 6.191 Nd
-1.753 5.525 6.005 Nd
3.143 5.447 0.640 Nd
5.484 1.661 -2.669 Nd
4.260 5.129 -2.855 Nd
1.395 4.398 -1.972 Os
5.418 0.000 3.833 Os
2.700 0.000 1.910 Os
2.336 2.788 5.308 Os
0.000 0.000 0.000 Hg
-2.245 3.632 3.174 Hg
```

[3]
DFT (PBE-GGA) results for a relaxed structure of PmNdHgOs.

## Properties
Symmetry   F-43m
Formation energy   -0.6 eV per formula unit
Uncorrected energy   -21.6 eV per cell
Calculated volume   24.34 Å³/atom
Total magnetization   0.00 μB/atom
Fermi-level density of states   0.72 states/eV per atom

Structure (POSCAR):
```
PmNdHgOs
1.0
-0.539 2.819 4.293
-2.674 -1.874 4.000
2.456 -1.387 4.325
Pm Hg Os Nd
1 1 1 1
Cartesian
0.000 0.000 0.000 Pm
-0.568 -0.332 9.463 Hg
-0.189 -0.111 3.154 Os
-0.378 -0.221 6.309 Nd
```

[4]
DFT (PBE-GGA) results for a relaxed structure of TbNdHgOs.

## Properties
Symmetry   F-43m
Formation energy   -0.7 eV per formula unit
Uncorrected energy   -21.6 eV per cell
Calculated volume   23.59 Å³/atom
Total magnetization   0.00 μB/atom
Fermi-level density of states   0.58 states/eV per atom

Structure (POSCAR):
```
TbNdHgOs
1.0
5.110 0.000 0.000
2.555 4.425 0.000
2.555 1.475 4.172
Hg Os Tb Nd
1 1 1 1
Cartesian
7.665 4.425 3.129 Hg
2.555 1.475 1.043 Os
5.110 2.950 2.086 Tb
0.000 0.000 0.000 Nd
```

[5]
DFT (PBE-GGA) results for a relaxed structure of NdHgP.

## Properties
Symmetry   R-3m
Formation energy   -2.1 eV per formula unit
Uncorrected energy   -25.2 eV per cell
Calculated volume   29.55 Å³/atom
Total magnetization   0.00 μB/atom
Fermi-level density of states   0.26 states/eV per atom

Structure (POSCAR):
```
NdHgP
1.0
-4.115 2.051 1.625
-2.112 -1.664 4.069
2.541 5.691 6.569
Nd P Hg
2 2 2
Cartesian
-3.324 1.256 4.634 Nd
-0.363 4.823 7.629 Nd
-2.286 5.136 9.682 P
-1.401 0.943 2.581 P
-3.748 3.375 8.203 Hg
0.061 2.704 4.060 Hg
```

[6]
DFT (PBE-GGA) results for a relaxed structure of Nd5Hg2P.

## Properties
Symmetry   Pnma
Formation energy   -4.8 eV per formula unit
Uncorrected energy   -138.7 eV per cell
Calculated volume   30.25 Å³/atom
Total magnetization   0.00 μB/atom
Fermi-level density of states   1.12 states/eV per atom

Structure (POSCAR):
```
Nd5Hg2P
1.0
9.298 0.000 0.000
0.000 8.138 0.000
0.000 0.000 12.794
Hg Nd P
8 20 4
Cartesian
3.836 8.123 10.503 Hg
5.461 4.054 2.291 Hg
0.813 4.085 4.106 Hg
3.836 4.085 10.503 Hg
8.485 4.054 8.687 Hg
5.461 0.015 2.291 Hg
8.485 0.015 8.687 Hg
0.813 8.123 4.106 Hg
3.399 6.104 3.831 Nd
9.288 6.104 6.410 Nd
6.402 4.066 5.510 Nd
5.914 6.104 8.959 Nd
0.010 2.035 6.384 Nd
1.754 4.073 0.887 Nd
6.402 0.004 5.510 Nd
5.899 2.035 8.963 Nd
8.048 2.035 2.566 Nd
3.384 2.035 3.835 Nd
7.544 4.066 11.907 Nd
1.250 6.104 10.228 Nd
4.659 6.104 0.013 Nd
8.033 6.104 2.562 Nd
4.639 2.035 12.780 Nd
2.895 8.135 7.284 Nd
2.895 4.073 7.284 Nd
1.754 8.135 0.887 Nd
1.265 2.035 10.232 Nd
7.544 0.004 11.907 Nd
0.004 2.035 0.001 P
4.645 2.035 6.398 P
4.653 6.104 6.396 P
9.294 6.104 12.793 P
```

[7]
DFT (PBE-GGA) results for a relaxed structure of NdHg2P2Pt7.

## Properties
Symmetry   I4/mmm
Formation energy   -5.7 eV per formula unit
Uncorrected energy   -64.2 eV per cell
Calculated volume   19.60 Å³/atom
Total magnetization   0.00 μB/atom
Fermi-level density of states   0.32 states/eV per atom

Structure (POSCAR):
```
NdHg2P2Pt7
1.0
-0.125 -3.572 -1.826
2.686 1.281 -2.692
12.126 -5.901 6.290
P Pt Nd Hg
2 7 1 2
Cartesian
10.758 -5.885 1.942 P
3.929 -2.306 -0.169 P
4.328 -1.253 -2.262 Pt
9.114 -5.164 0.647 Pt
5.573 -3.027 1.126 Pt
2.923 -3.678 -1.829 Pt
10.359 -6.939 4.035 Pt
1.281 -1.145 -2.259 Pt
11.764 -4.513 3.602 Pt
0.000 0.000 0.000 Nd
7.021 -4.246 -1.002 Hg
7.666 -3.945 2.775 Hg
```

[8]
DFT (PBE-GGA) results for a relaxed structure of Nd6HgP3S2.

## Properties
Symmetry   C2/m
Uncorrected energy   -71.8 eV per cell
Calculated volume   25.83 Å³/atom
Total magnetization   0.00 μB/atom
Formation energy without anion corrections   -1.533 eV per atom
Fermi-level density of states   0.37 states/eV per atom

Structure (POSCAR):
```
Nd6HgP3S2
1.0
4.146 0.000 0.000
0.000 8.428 0.329
-2.073 -2.401 8.777
S P Nd Hg
2 3 6 1
Cartesian
0.000 2.040 3.077 S
2.073 3.987 6.029 S
2.073 4.214 0.165 P
2.073 -0.211 5.930 P
0.000 6.238 3.176 P
2.073 4.170 3.101 Nd
0.000 2.291 0.114 Nd
0.000 1.857 6.005 Nd
2.073 -0.101 3.102 Nd
2.073 3.736 8.992 Nd
0.000 6.128 6.004 Nd
2.073 0.000 0.000 Hg
```

Q: Which formula does entry 5 have?
A: NdHgP

Q: Among the records above, which one has the lowest Fermi-level density of states?
A: NdHgP

What did the sixth record say?
DFT (PBE-GGA) results for a relaxed structure of Nd5Hg2P.

## Properties
Symmetry   Pnma
Formation energy   -4.8 eV per formula unit
Uncorrected energy   -138.7 eV per cell
Calculated volume   30.25 Å³/atom
Total magnetization   0.00 μB/atom
Fermi-level density of states   1.12 states/eV per atom

Structure (POSCAR):
```
Nd5Hg2P
1.0
9.298 0.000 0.000
0.000 8.138 0.000
0.000 0.000 12.794
Hg Nd P
8 20 4
Cartesian
3.836 8.123 10.503 Hg
5.461 4.054 2.291 Hg
0.813 4.085 4.106 Hg
3.836 4.085 10.503 Hg
8.485 4.054 8.687 Hg
5.461 0.015 2.291 Hg
8.485 0.015 8.687 Hg
0.813 8.123 4.106 Hg
3.399 6.104 3.831 Nd
9.288 6.104 6.410 Nd
6.402 4.066 5.510 Nd
5.914 6.104 8.959 Nd
0.010 2.035 6.384 Nd
1.754 4.073 0.887 Nd
6.402 0.004 5.510 Nd
5.899 2.035 8.963 Nd
8.048 2.035 2.566 Nd
3.384 2.035 3.835 Nd
7.544 4.066 11.907 Nd
1.250 6.104 10.228 Nd
4.659 6.104 0.013 Nd
8.033 6.104 2.562 Nd
4.639 2.035 12.780 Nd
2.895 8.135 7.284 Nd
2.895 4.073 7.284 Nd
1.754 8.135 0.887 Nd
1.265 2.035 10.232 Nd
7.544 0.004 11.907 Nd
0.004 2.035 0.001 P
4.645 2.035 6.398 P
4.653 6.104 6.396 P
9.294 6.104 12.793 P
```